No. 1
A relaxed structure of Nd2AsI2, computed with PBE.

Computed properties:
V   37.2 Å³ per atom
Electronic total energy   -4.96 eV per atom

extended XYZ file:
```
5
Lattice="2.158 1.246 11.525 -2.158 1.246 11.525 0.000 -2.492 11.525" Properties=species:S:1:pos:R:3 pbc="T T T"
As 0.000 0.000 0.000
I 0.000 0.000 7.837
I 0.000 0.000 26.739
Nd 0.000 0.000 13.140
Nd 0.000 0.000 21.436
```

No. 2
A relaxed structure of DyLuGe2Os, computed with PBE.

Computed properties:
V   20.2 Å³ per atom
Distance to the lowest polymorph of the same formula   0.0 meV/atom
Electronic total energy   -6.62 eV per atom

extended XYZ file:
```
10
Lattice="5.321 -2.141 0.000 5.321 2.141 0.000 -4.675 0.000 8.883" Properties=species:S:1:pos:R:3 pbc="T T T"
Dy 6.872 0.000 3.419
Dy -0.906 0.000 5.464
Ge 6.526 0.000 0.543
Ge 3.721 0.000 3.323
Ge 2.246 0.000 5.560
Ge -0.559 0.000 8.340
Lu -0.782 0.000 1.537
Lu 6.749 0.000 7.346
Os 2.248 0.000 1.165
Os 3.718 0.000 7.717
```